Entry 1:
The following is a PBE calculation of an optimized crystal structure of PaSbRhSe, from the Alexandria database.

abc: 4.414 4.414 8.732
angles: 90.00 90.00 90.00
Element x y z (fractional)
Rh 0.500 0.500 0.000
Rh 0.000 0.000 0.000
Sb 0.500 0.000 0.177
Sb 0.000 0.500 0.823
Pa 0.000 0.500 0.276
Pa 0.500 0.000 0.724
Se 0.500 0.500 0.500
Se 0.000 0.000 0.500

Values from the calculation:
**E_form (uncorrected)**: -0.85 eV/atom
**Crystal system**: tetragonal


Entry 2:
The following is a PBE calculation of an optimized crystal structure of CaPm3B, from the Alexandria database.

abc: 5.371 5.371 5.371
angles: 90.00 90.00 90.00
Element x y z (fractional)
Pm 0.000 0.000 0.500
Pm 0.500 0.000 0.000
Pm 0.000 0.500 0.000
B 0.000 0.000 0.000
Ca 0.500 0.500 0.500

Values from the calculation:
**Calculated formation energy**: 105 meV per atom
**Crystal system**: cubic


Entry 3:
The following is a PBE calculation of an optimized crystal structure of Y2ScRu, from the Alexandria database.

abc: 9.920 9.920 9.920
angles: 20.16 20.16 20.16
Element x y z (fractional)
Sc 0.750 0.750 0.750
Y 0.515 0.515 0.515
Y 0.985 0.985 0.985
Ru 0.250 0.250 0.250

Values from the calculation:
**Calculated formation energy**: 49 meV per atom
**Crystal system**: trigonal


Entry 4:
The following is a PBE calculation of an optimized crystal structure of LiMgTc2N4, from the Alexandria database.

abc: 5.340 5.733 6.559
angles: 90.00 90.00 90.00
Element x y z (fractional)
Tc 0.496 0.355 0.250
Tc 0.496 0.355 0.750
Tc 0.996 0.645 0.750
Tc 0.996 0.645 0.250
N 0.354 0.662 0.746
N 0.902 0.801 0.000
N 0.854 0.338 0.754
N 0.394 0.201 0.000
N 0.354 0.662 0.254
N 0.894 0.799 0.500
N 0.402 0.199 0.500
N 0.854 0.338 0.246
Mg 0.002 0.151 0.000
Mg 0.502 0.849 0.500
Li 0.001 0.159 0.500
Li 0.501 0.841 0.000

Values from the calculation:
**E_form (uncorrected)**: -0.24 eV/atom
**Crystal system**: orthorhombic


Entry 5:
The following is a PBE calculation of an optimized crystal structure of Pm8GaGe3Se4, from the Alexandria database.

abc: 8.421 8.570 8.422
angles: 119.43 120.00 90.00
Element x y z (fractional)
Pm 0.746 0.739 0.493
Pm 0.749 0.253 0.499
Pm 0.254 0.261 0.507
Pm 0.251 0.747 0.501
Pm 0.746 0.747 0.996
Pm 0.251 0.747 0.996
Pm 0.254 0.253 0.004
Pm 0.749 0.253 0.004
Ga 0.000 0.500 0.000
Se 0.000 0.000 0.500
Se 0.500 0.000 0.500
Se 0.000 0.000 0.000
Se 0.500 0.000 0.000
Ge 0.500 0.500 0.000
Ge 0.000 0.500 0.500
Ge 0.500 0.500 0.500

Values from the calculation:
**E_form (uncorrected)**: -1.34 eV/atom
**Crystal system**: trigonal


Record order is preserved below.
Magnetic moment: 0.00; 0.00; 1.03; 1.10; 0.00 μB per cell
Record order is preserved below.
Calculated volume: 21.27; 30.99; 25.37; 12.55; 27.09 Å³ per atom